# 1
Rb2NaAs2: optimized geometry, PBE-GGA.

POSCAR file:
```
Rb2NaAs2
1.0
7.952 0.000 0.000
0.000 7.952 0.000
0.000 0.000 5.501
Rb Na As
4 2 4
Cartesian
1.386 2.590 0.000
2.590 6.566 0.000
5.361 1.386 0.000
6.566 5.361 0.000
0.000 0.000 2.750
3.976 3.976 2.750
0.863 4.839 2.750
3.113 0.863 2.750
4.839 7.089 2.750
7.089 3.113 2.750
```

As for the space group: P4/mbm. For the energy of formation, the calculation gives -297 meV/atom. The total magnetization is 1.00 μB/cell.

***

# 2
RbNa5As2: optimized geometry, PBE-GGA.

POSCAR file:
```
RbNa5As2
1.0
-2.509 4.516 5.779
2.509 -4.516 5.779
2.509 4.516 -5.779
Rb Na As
1 5 2
Cartesian
0.000 0.000 0.000
2.509 2.920 -2.249
0.000 1.596 3.530
0.000 4.516 0.000
2.509 2.920 2.249
0.000 1.596 8.027
2.509 0.000 2.928
0.000 4.516 2.851
```

As for the space group: Immm. For the energy of formation, the calculation gives -370 meV/atom. The total magnetization is 0.00 μB/cell.

***

# 3
Rb2NaAs2: optimized geometry, PBE-GGA.

POSCAR file:
```
Rb2NaAs2
1.0
5.621 -3.506 0.000
5.621 3.506 0.000
-1.656 0.000 8.997
Rb Na As
4 2 4
Cartesian
1.428 1.023 1.266
0.600 -1.023 5.764
8.986 1.023 3.233
8.157 -1.023 7.731
5.207 0.497 2.249
4.379 -0.497 6.748
3.065 1.187 4.445
7.348 1.187 0.053
2.237 -1.187 8.944
6.520 -1.187 4.551
```

As for the space group: C2/c. For the energy of formation, the calculation gives -334 meV/atom. The total magnetization is 2.02 μB/cell.

***

Number 1: density 3.3 Mg/m³, DOS at the Fermi energy 7.45 states/eV per cell, energy -0.2064 Ry/atom. Number 2: density 2.2 Mg/m³, DOS at the Fermi energy 1.80 states/eV per cell, energy -0.1821 Ry/atom. Number 3: density 3.2 Mg/m³, DOS at the Fermi energy 6.89 states/eV per cell, energy -0.2091 Ry/atom.